1.
Material: Ac2Ge3BiRh4
Method: DFT, PBE-GGA
State: relaxed

Cell: 4.400 4.400 10.796 Å, 90.00 90.00 90.00°
Positions (direct):
Ac  0.000  0.500  0.243
Ac  0.500  0.000  0.757
Ge  0.000  0.500  0.881
Ge  0.500  0.000  0.119
Ge  0.500  0.500  0.500
Bi  0.000  0.000  0.500
Rh  0.000  0.000  0.000
Rh  0.000  0.500  0.649
Rh  0.500  0.000  0.351
Rh  0.500  0.500  0.000

Summary:
VASP energy: -6.285 eV/atom
Space-group type: P-4m2, No. 115
Energy of formation from the pure elements: -0.75 eV per atom

2.
Material: AcGeBiRh
Method: DFT, PBE-GGA
State: relaxed

Cell: 7.346 7.346 7.346 Å, 90.00 90.00 90.00°
Positions (direct):
Ac  0.000  0.000  0.000
Ac  0.000  0.500  0.500
Ac  0.500  0.000  0.500
Ac  0.500  0.500  0.000
Ge  0.250  0.250  0.250
Ge  0.250  0.750  0.750
Ge  0.750  0.250  0.750
Ge  0.750  0.750  0.250
Bi  0.000  0.000  0.500
Bi  0.000  0.500  0.000
Bi  0.500  0.000  0.000
Bi  0.500  0.500  0.500
Rh  0.250  0.250  0.750
Rh  0.250  0.750  0.250
Rh  0.750  0.250  0.250
Rh  0.750  0.750  0.750

Summary:
VASP energy: -5.253 eV/atom
Space-group type: F-43m, No. 216
Energy of formation from the pure elements: -0.26 eV per atom

3.
Material: Ac4GeBi2S
Method: DFT, PBE-GGA
State: relaxed

Cell: 8.052 4.680 8.169 Å, 90.00 109.35 90.00°
Positions (direct):
Ac  0.242  0.000  0.230
Ac  0.252  0.500  0.769
Ac  0.748  0.500  0.231
Ac  0.758  0.000  0.770
Ge  0.000  0.500  0.000
Bi  0.000  0.000  0.500
Bi  0.500  0.500  0.500
S  0.500  0.000  0.000

Summary:
VASP energy: -5.283 eV/atom
Space-group type: P2/m, No. 10